1.
The following is a DFT calculation (PBE-GGA) of a relaxed Ni2Ag2Ir crystal. Values from VASP.

As for the space-group type: No. 127. The electronic total energy comes out at -4.768 eV per atom.

The structure in Quantum ESPRESSO input format:
```
&SYSTEM
  ibrav = 0, nat = 10, ntyp = 3
/
ATOMIC_SPECIES
Ni 58.69 Ni.upf
Ir 192.22 Ir.upf
Ag 107.87 Ag.upf
CELL_PARAMETERS angstrom
6.1279 0.0000 0.0000
0.0000 6.1279 0.0000
0.0000 0.0000 4.0711
ATOMIC_POSITIONS crystal
Ni 0.3693 0.8693 0.0000
Ni 0.8693 0.6307 0.0000
Ni 0.6307 0.1307 0.0000
Ni 0.1307 0.3693 0.0000
Ir 0.0000 0.0000 0.0000
Ir 0.5000 0.5000 0.0000
Ag 0.1740 0.6740 0.5000
Ag 0.6740 0.8260 0.5000
Ag 0.8260 0.3260 0.5000
Ag 0.3260 0.1740 0.5000
```



2.
The following is a DFT calculation (PBE-GGA) of a relaxed NiAgIr2 crystal. Values from VASP.

As for the space-group type: No. 12. The electronic total energy comes out at -6.355 eV per atom.

The structure in Quantum ESPRESSO input format:
```
&SYSTEM
  ibrav = 0, nat = 4, ntyp = 3
/
ATOMIC_SPECIES
Ag 107.87 Ag.upf
Ir 192.22 Ir.upf
Ni 58.69 Ni.upf
CELL_PARAMETERS angstrom
5.1449 0.0624 0.1228
4.3926 2.6795 0.1228
1.3108 0.3768 4.3436
ATOMIC_POSITIONS crystal
Ag 0.7500 0.7500 0.7500
Ir 0.9732 0.9732 0.0242
Ir 0.5268 0.5268 0.4758
Ni 0.2500 0.2500 0.2500
```



3.
The following is a DFT calculation (PBE-GGA) of a relaxed NiAgIr2 crystal. Values from VASP.

As for the space-group type: No. 139. The electronic total energy comes out at -6.165 eV per atom.

The structure in Quantum ESPRESSO input format:
```
&SYSTEM
  ibrav = 0, nat = 4, ntyp = 3
/
ATOMIC_SPECIES
Ag 107.87 Ag.upf
Ir 192.22 Ir.upf
Ni 58.69 Ni.upf
CELL_PARAMETERS angstrom
4.8159 -0.0072 0.0000
1.8118 4.4621 0.0000
-3.3138 -2.2275 2.6926
ATOMIC_POSITIONS crystal
Ag 0.7500 0.2500 0.5000
Ir 0.0000 0.0000 0.0000
Ir 0.5000 0.5000 0.0000
Ni 0.2500 0.7500 0.5000
```



The records above give, respectively, magnetic moment values of 2.228; 0.000; 0.862 μB per cell.